# 1
An optimized crystal structure of NpNi6Sb2, computed with PBE.

Summary:
* density: 10.1 g/cm3
* E_form (uncorrected): 0.002 eV per atom
* E_tot: -6.2059 eV/atom

Structure (POSCAR):
```
NpNi6Sb2
1.0
4.9873 -0.0728 0.5420
0.5939 5.0980 1.4306
0.0940 -0.1514 5.3252
Np Ni Sb
1 6 2
direct
0.0000 0.0000 0.0000 Np
0.2513 0.0960 0.4744 Ni
0.7487 0.9040 0.5256 Ni
0.7487 0.5256 0.9040 Ni
0.5000 0.8169 0.1831 Ni
0.5000 0.1831 0.8169 Ni
0.2513 0.4744 0.0960 Ni
0.2142 0.6126 0.6126 Sb
0.7858 0.3874 0.3874 Sb
```



# 2
An optimized crystal structure of SrNpNi2Sb2, computed with PBE.

Summary:
* density: 8.1 g/cm3
* E_form (uncorrected): -0.494 eV per atom
* E_tot: -6.2321 eV/atom

Structure (POSCAR):
```
SrNpNi2Sb2
1.0
-3.5658 2.0421 -1.4603
-0.3883 -3.6443 2.3634
-0.2552 4.6326 7.1014
Sr Np Ni Sb
1 1 2 2
direct
0.0000 0.0000 0.0000 Sr
0.0000 0.0000 0.5000 Np
0.6667 0.3333 0.6750 Ni
0.3333 0.6667 0.3250 Ni
0.6667 0.3333 0.2630 Sb
0.3333 0.6667 0.7370 Sb
```